(1)
A relaxed structure of ScCo2, computed with GGA-PBE.

Unit cell a=3.3184 b=3.3184 c=4.3178 alpha=90.00 beta=90.00 gamma=90.00
With the nearest neighbours (Å) after each atom.
Element x y z (fractional)
1 Sc 0.0000 0.0000 0.0000  8 Co 2.72
2 Co 0.0000 0.5000 0.5000  4 Co 2.35
3 Co 0.5000 0.0000 0.5000  4 Co 2.35

- DFT total energy: -6.7377 eV per atom

=====

(2)
A relaxed structure of ScCo3, computed with GGA-PBE.

Unit cell a=4.8242 b=4.8242 c=8.3976 alpha=106.68 beta=106.68 gamma=59.91
With the nearest neighbours (Å) after each atom.
Element x y z (fractional)
1 Sc 0.0000 0.0000 0.0000  6 Co 2.78-2.79
2 Sc 0.1400 0.1400 0.4202  12 Co 2.76-2.95, 3 Sc 3.06
3 Sc 0.8600 0.8600 0.5798  12 Co 2.76-2.95, 3 Sc 3.06
4 Co 0.0781 0.5858 0.2497  7 Co 2.37-2.45
5 Co 0.3354 0.3354 0.0055  6 Co 2.40-2.44
6 Co 0.4142 0.4142 0.7502  7 Co 2.38-2.45
7 Co 0.4142 0.9219 0.7503  7 Co 2.37-2.45
8 Co 0.5000 0.5000 0.5000  6 Co 2.43
9 Co 0.5858 0.0781 0.2497  7 Co 2.37-2.45
10 Co 0.5858 0.5858 0.2498  7 Co 2.38-2.45
11 Co 0.6646 0.6646 0.9945  6 Co 2.40-2.44
12 Co 0.9219 0.4142 0.7503  7 Co 2.37-2.45

- DFT total energy: -7.1666 eV per atom

=====

(3)
A relaxed structure of ScCo3, computed with GGA-PBE.

Unit cell a=4.8619 b=4.8619 c=4.8619 alpha=142.61 beta=130.50 gamma=63.64
With the nearest neighbours (Å) after each atom.
Element x y z (fractional)
1 Sc 0.0000 0.0000 0.0000  12 Co 2.56-2.84
2 Co 0.2603 0.7603 0.5000  6 Co 2.52-2.57, 2 Sc 2.66
3 Co 0.5000 0.5000 0.0000  4 Co 2.52, 4 Sc 2.56
4 Co 0.7397 0.2397 0.5000  6 Co 2.52-2.57, 2 Sc 2.66

- DFT total energy: -6.9533 eV per atom

=====

(4)
A relaxed structure of Sc4Co3, computed with GGA-PBE.

Unit cell a=7.6030 b=7.6030 c=7.6030 alpha=33.48 beta=33.48 gamma=33.48
With the nearest neighbours (Å) after each atom.
Element x y z (fractional)
1 Sc 0.1231 0.1231 0.1231  7 Co 2.65-2.70
2 Sc 0.3745 0.3745 0.3745  5 Co 2.70-2.75
3 Sc 0.6255 0.6255 0.6255  5 Co 2.70-2.75
4 Sc 0.8769 0.8769 0.8769  7 Co 2.65-2.70
5 Co 0.2467 0.2467 0.2467  8 Sc 2.65-2.75
6 Co 0.5000 0.5000 0.5000  8 Sc 2.70
7 Co 0.7533 0.7533 0.7533  8 Sc 2.65-2.75

- DFT total energy: -6.9389 eV per atom

=====

(5)
A relaxed structure of Sc4Co3, computed with GGA-PBE.

Unit cell a=5.0007 b=5.0007 c=5.4862 alpha=90.00 beta=90.00 gamma=120.00
With the nearest neighbours (Å) after each atom.
Element x y z (fractional)
1 Sc 0.0000 0.0000 0.2420  2 Sc 2.66-2.83, 6 Co 2.83
2 Sc 0.0000 0.0000 0.7580  2 Sc 2.66-2.83, 6 Co 2.83
3 Sc 0.3333 0.6667 0.5000  9 Sc 2.89-3.22, 6 Co 3.10
4 Sc 0.6667 0.3333 0.5000  9 Sc 2.89-3.22, 6 Co 3.10
5 Co 0.0000 0.5000 0.0000  4 Co 2.50
6 Co 0.5000 0.0000 0.0000  4 Co 2.50
7 Co 0.5000 0.5000 0.0000  4 Co 2.50

- DFT total energy: -6.7382 eV per atom

=====

(6)
A relaxed structure of ScCo3, computed with GGA-PBE.

Unit cell a=8.3394 b=8.3394 c=8.3394 alpha=18.94 beta=18.94 gamma=18.94
With the nearest neighbours (Å) after each atom.
Element x y z (fractional)
1 Sc 0.0000 0.0000 0.0000  6 Co 2.72, 6 Sc 2.74
2 Co 0.2432 0.2432 0.2432  9 Co 2.46-2.74, 3 Sc 2.72
3 Co 0.5000 0.5000 0.5000  12 Co 2.46-2.74
4 Co 0.7568 0.7568 0.7568  9 Co 2.46-2.74, 3 Sc 2.72

- DFT total energy: -6.6342 eV per atom

=====

Q: Among the records above, which one has the lowest DFT total energy?
A: number 2

=====

Q: Which formula does entry 2 have?
A: ScCo3

=====

Q: Which formula does entry 4 have?
A: Sc4Co3